Record 1
VASP calculation (PBE) on GeAsWBr2 after structural relaxation.

Cell: 5.069 5.069 5.301 Å, 90.00 90.00 90.00°
Fractional coordinates of all 5 atoms:
1 Ge 0.000 0.000 0.000
2 As 0.000 0.000 0.500
3 W 0.500 0.500 0.500
4 Br 0.000 0.500 0.000
5 Br 0.500 0.000 0.000

Calculated values
magnetic moment = 3.53 μB/f.u.
raw formation energy = 1310 meV/atom
space-group type = P4/mmm, No. 123
E above lowest polymorph = 600 meV per atom

---

Record 2
VASP calculation (PBE) on GeAsWBr2 after structural relaxation.

Cell: 5.167 5.167 4.945 Å, 90.00 90.00 90.00°
Fractional coordinates of all 5 atoms:
1 Ge 0.000 0.000 0.000
2 As 0.500 0.500 0.000
3 W 0.500 0.500 0.500
4 Br 0.000 0.500 0.500
5 Br 0.500 0.000 0.500

Calculated values
magnetic moment = 2.33 μB/f.u.
raw formation energy = 710 meV/atom
space-group type = P4/mmm, No. 123
E above lowest polymorph = 0 meV per atom

---

Record 3
VASP calculation (PBE) on YGeAs2Br after structural relaxation.

Cell: 4.965 4.965 5.155 Å, 90.00 90.00 90.00°
Fractional coordinates of all 5 atoms:
1 Y 0.000 0.000 0.000
2 Ge 0.500 0.500 0.500
3 As 0.000 0.500 0.500
4 As 0.500 0.000 0.500
5 Br 0.500 0.500 0.000

Calculated values
magnetic moment = 0.00 μB/f.u.
raw formation energy = -73 meV/atom
space-group type = P4/mmm, No. 123
E above lowest polymorph = 0 meV per atom

---

Record 4
VASP calculation (PBE) on YGeAsBr2 after structural relaxation.

Cell: 5.124 5.124 5.283 Å, 90.00 90.00 90.00°
Fractional coordinates of all 5 atoms:
1 Y 0.000 0.000 0.000
2 Ge 0.500 0.500 0.500
3 As 0.500 0.500 0.000
4 Br 0.000 0.500 0.500
5 Br 0.500 0.000 0.500

Calculated values
magnetic moment = 0.00 μB/f.u.
raw formation energy = -189 meV/atom
space-group type = P4/mmm, No. 123
E above lowest polymorph = 135 meV per atom

---

Record 5
VASP calculation (PBE) on YGeAsBr2 after structural relaxation.

Cell: 5.395 5.395 5.800 Å, 90.00 90.00 90.00°
Fractional coordinates of all 5 atoms:
1 Y 0.000 0.000 0.000
2 Ge 0.500 0.500 0.500
3 As 0.000 0.000 0.500
4 Br 0.000 0.500 0.000
5 Br 0.500 0.000 0.000

Calculated values
magnetic moment = 0.05 μB/f.u.
raw formation energy = -324 meV/atom
space-group type = P4/mmm, No. 123
E above lowest polymorph = 0 meV per atom

---

Record 6
VASP calculation (PBE) on YGeAs2Br after structural relaxation.

Cell: 5.503 5.503 5.363 Å, 90.00 90.00 90.00°
Fractional coordinates of all 5 atoms:
1 Y 0.000 0.000 0.000
2 Ge 0.500 0.500 0.500
3 As 0.000 0.500 0.000
4 As 0.500 0.000 0.000
5 Br 0.000 0.000 0.500

Calculated values
magnetic moment = 0.00 μB/f.u.
raw formation energy = 175 meV/atom
space-group type = P4/mmm, No. 123
E above lowest polymorph = 248 meV per atom

---

Record 7
VASP calculation (PBE) on ZnGeAs2Br after structural relaxation.

Cell: 4.810 4.810 5.312 Å, 90.00 90.00 90.00°
Fractional coordinates of all 5 atoms:
1 Zn 0.000 0.000 0.000
2 Ge 0.500 0.500 0.500
3 As 0.000 0.500 0.000
4 As 0.500 0.000 0.000
5 Br 0.000 0.000 0.500

Calculated values
magnetic moment = 0.00 μB/f.u.
raw formation energy = 578 meV/atom
space-group type = P4/mmm, No. 123
E above lowest polymorph = 0 meV per atom

---

Record 8
VASP calculation (PBE) on ZnGeAsBr2 after structural relaxation.

Cell: 5.319 5.319 5.292 Å, 90.00 90.00 90.00°
Fractional coordinates of all 5 atoms:
1 Zn 0.000 0.000 0.000
2 Ge 0.500 0.500 0.500
3 As 0.500 0.500 0.000
4 Br 0.000 0.500 0.500
5 Br 0.500 0.000 0.500

Calculated values
magnetic moment = 1.54 μB/f.u.
raw formation energy = 288 meV/atom
space-group type = P4/mmm, No. 123
E above lowest polymorph = 0 meV per atom

---

Record 9
VASP calculation (PBE) on ZrGeAs2Br after structural relaxation.

Cell: 5.260 5.260 5.193 Å, 90.00 90.00 90.00°
Fractional coordinates of all 5 atoms:
1 Zr 0.000 0.000 0.000
2 Ge 0.500 0.500 0.500
3 As 0.000 0.500 0.000
4 As 0.500 0.000 0.000
5 Br 0.000 0.000 0.500

Calculated values
magnetic moment = 0.00 μB/f.u.
raw formation energy = 152 meV/atom
space-group type = P4/mmm, No. 123
E above lowest polymorph = 0 meV per atom

---

Record 10
VASP calculation (PBE) on ZrGeAs2Br after structural relaxation.

Cell: 4.926 4.926 4.981 Å, 90.00 90.00 90.00°
Fractional coordinates of all 5 atoms:
1 Zr 0.000 0.000 0.000
2 Ge 0.500 0.500 0.500
3 As 0.000 0.500 0.500
4 As 0.500 0.000 0.500
5 Br 0.500 0.500 0.000

Calculated values
magnetic moment = 0.45 μB/f.u.
raw formation energy = 487 meV/atom
space-group type = P4/mmm, No. 123
E above lowest polymorph = 335 meV per atom

---

Record 11
VASP calculation (PBE) on AsHBr2 after structural relaxation.

Cell: 4.839 4.839 4.839 Å, 60.00 60.00 60.00°
Fractional coordinates of all 4 atoms:
1 As 0.000 0.000 0.000
2 H 0.500 0.500 0.500
3 Br 0.250 0.250 0.250
4 Br 0.750 0.750 0.750

Calculated values
magnetic moment = 0.25 μB/f.u.
space-group type = Fm-3m, No. 225
E above lowest polymorph = 974 meV per atom

---

Record 12
VASP calculation (PBE) on AsHBr6 after structural relaxation.

Cell: 6.151 6.941 7.077 Å, 102.41 99.47 100.87°
Fractional coordinates of all 8 atoms:
1 As 0.000 0.000 0.000
2 H 0.000 0.500 0.000
3 Br 0.041 0.305 0.824
4 Br 0.273 0.866 0.814
5 Br 0.341 0.215 0.299
6 Br 0.659 0.785 0.701
7 Br 0.727 0.134 0.186
8 Br 0.959 0.695 0.176

Calculated values
magnetic moment = 0.00 μB/f.u.
space-group type = P-1, No. 2
calculated total energy = -19.3 eV per formula unit

---

Record 13
VASP calculation (PBE) on AsH4Br2 after structural relaxation.

Cell: 5.554 5.554 4.506 Å, 96.72 96.72 104.27°
Fractional coordinates of all 7 atoms:
1 As 0.000 0.000 0.000
2 H 0.142 0.855 0.806
3 H 0.191 0.191 0.235
4 H 0.821 0.821 0.153
5 H 0.855 0.142 0.806
6 Br 0.382 0.704 0.458
7 Br 0.704 0.382 0.458

Calculated values
magnetic moment = 1.01 μB/f.u.
space-group type = Cm, No. 8
calculated total energy = -20.9 eV per formula unit

---

Record 14
VASP calculation (PBE) on AsH3Br after structural relaxation.

Cell: 3.788 3.788 3.788 Å, 90.00 90.00 90.00°
Fractional coordinates of all 5 atoms:
1 As 0.000 0.000 0.000
2 H 0.000 0.000 0.500
3 H 0.000 0.500 0.000
4 H 0.500 0.000 0.000
5 Br 0.500 0.500 0.500

Calculated values
magnetic moment = 0.00 μB/f.u.
space-group type = Pm-3m, No. 221
E above lowest polymorph = 424 meV per atom

---

Record 15
VASP calculation (PBE) on As2HBr2 after structural relaxation.

Cell: 9.032 9.032 9.032 Å, 155.65 155.65 34.71°
Fractional coordinates of all 5 atoms:
1 As 0.250 0.750 0.500
2 As 0.750 0.250 0.500
3 H 0.000 0.000 0.000
4 Br 0.386 0.386 0.000
5 Br 0.614 0.614 0.000

Calculated values
magnetic moment = 0.99 μB/f.u.
space-group type = I4/mmm, No. 139
E above lowest polymorph = 90 meV per atom

---

Record 16
VASP calculation (PBE) on AsH3Br after structural relaxation.

Cell: 3.847 3.847 3.847 Å, 90.00 90.00 90.00°
Fractional coordinates of all 5 atoms:
1 As 0.000 0.000 0.000
2 H 0.000 0.500 0.500
3 H 0.500 0.000 0.500
4 H 0.500 0.500 0.000
5 Br 0.500 0.500 0.500

Calculated values
magnetic moment = 0.00 μB/f.u.
space-group type = Pm-3m, No. 221
E above lowest polymorph = 1162 meV per atom

---

Record 17
VASP calculation (PBE) on AsHBr3 after structural relaxation.

Cell: 4.658 4.658 4.658 Å, 90.00 90.00 90.00°
Fractional coordinates of all 5 atoms:
1 As 0.000 0.000 0.000
2 H 0.500 0.500 0.500
3 Br 0.000 0.500 0.500
4 Br 0.500 0.000 0.500
5 Br 0.500 0.500 0.000

Calculated values
magnetic moment = 0.00 μB/f.u.
space-group type = Pm-3m, No. 221
E above lowest polymorph = 903 meV per atom

---

Record 18
VASP calculation (PBE) on As4HBr2 after structural relaxation.

Cell: 7.955 7.955 7.955 Å, 146.45 146.45 48.19°
Fractional coordinates of all 7 atoms:
1 As 0.000 0.500 0.500
2 As 0.118 0.118 0.000
3 As 0.500 0.000 0.500
4 As 0.882 0.882 0.000
5 H 0.000 0.000 0.000
6 Br 0.301 0.301 0.000
7 Br 0.699 0.699 0.000

Calculated values
magnetic moment = 0.00 μB/f.u.
space-group type = I4/mmm, No. 139
calculated total energy = -22.3 eV per formula unit

---

Record 19
VASP calculation (PBE) on AsHBr3 after structural relaxation.

Cell: 4.311 12.048 6.212 Å, 90.00 91.65 90.00°
Fractional coordinates of all 10 atoms:
1 As 0.016 0.250 0.279
2 As 0.984 0.750 0.721
3 H 0.088 0.250 0.992
4 H 0.912 0.750 0.008
5 Br 0.115 0.250 0.725
6 Br 0.329 0.596 0.748
7 Br 0.329 0.904 0.748
8 Br 0.671 0.096 0.252
9 Br 0.671 0.404 0.252
10 Br 0.885 0.750 0.275

Calculated values
magnetic moment = 0.00 μB/f.u.
space-group type = P2_1/m, No. 11
E above lowest polymorph = 0 meV per atom

---

Record 20
VASP calculation (PBE) on AsHBr3 after structural relaxation.

Cell: 5.283 5.283 5.283 Å, 90.00 90.00 90.00°
Fractional coordinates of all 5 atoms:
1 As 0.000 0.000 0.000
2 H 0.500 0.500 0.500
3 Br 0.000 0.000 0.500
4 Br 0.000 0.500 0.000
5 Br 0.500 0.000 0.000

Calculated values
magnetic moment = 1.00 μB/f.u.
space-group type = Pm-3m, No. 221
E above lowest polymorph = 455 meV per atom